# YAs2Br | the Alexandria database | PBE | relaxed
data_YAs2Br
_chemical_formula_sum 'Y1 As2 Br1'
_space_group_name_H-M_alt 'P 4 m m'
_space_group_IT_number 99
_space_group_name_Hall 'P 4 -2'
_cell_length_a 3.5907
_cell_length_b 3.5907
_cell_length_c 8.2114
_cell_angle_alpha 90.00
_cell_angle_beta 90.00
_cell_angle_gamma 90.00
loop_
_atom_site_label
_atom_site_type_symbol
_atom_site_fract_x
_atom_site_fract_y
_atom_site_fract_z
Y1 Y 0.0000 0.0000 0.0000
As1 As 0.0000 0.0000 0.3458
As2 As 0.5000 0.5000 0.2282
Br1 Br 0.5000 0.5000 0.7911
# formation energy from raw total energies	-0.77	eV/atom
# energy above the lowest structure with this stoichiometry	114	meV per atom



# YAs2Br | the Alexandria database | PBE | relaxed
data_YAs2Br
_chemical_formula_sum 'Y2 As4 Br2'
_space_group_name_H-M_alt 'C 1 2/m 1'
_space_group_IT_number 12
_space_group_name_Hall '-C 2y'
_cell_length_a 10.7835
_cell_length_b 3.6496
_cell_length_c 5.1902
_cell_angle_alpha 90.00
_cell_angle_beta 99.47
_cell_angle_gamma 90.00
loop_
_atom_site_label
_atom_site_type_symbol
_atom_site_fract_x
_atom_site_fract_y
_atom_site_fract_z
Y1 Y 0.0000 0.0000 0.0000
As1 As 0.2354 0.5000 0.1561
Br1 Br 0.0000 0.5000 0.5000
# formation energy from raw total energies	-0.81	eV/atom
# energy above the lowest structure with this stoichiometry	67	meV per atom



# Y4AsBr | the Alexandria database | PBE | relaxed
data_Y4AsBr
_chemical_formula_sum 'Y16 As4 Br4'
_space_group_name_H-M_alt 'F -4 3 m'
_space_group_IT_number 216
_space_group_name_Hall 'F -4 2 3'
_cell_length_a 8.9382
_cell_length_b 8.9382
_cell_length_c 8.9382
_cell_angle_alpha 90.00
_cell_angle_beta 90.00
_cell_angle_gamma 90.00
loop_
_atom_site_label
_atom_site_type_symbol
_atom_site_fract_x
_atom_site_fract_y
_atom_site_fract_z
Y1 Y 0.1239 0.1239 0.1239
As1 As 0.2500 0.2500 0.7500
Br1 Br 0.0000 0.0000 0.5000
# formation energy from raw total energies	0.17	eV/atom



# YAs2Br | the Alexandria database | PBE | relaxed
data_YAs2Br
_chemical_formula_sum 'Y1 As2 Br1'
_space_group_name_H-M_alt 'P 1 m 1'
_space_group_IT_number 6
_space_group_name_Hall 'P -2y'
_cell_length_a 4.4332
_cell_length_b 3.7509
_cell_length_c 7.3296
_cell_angle_alpha 90.00
_cell_angle_beta 91.45
_cell_angle_gamma 90.00
loop_
_atom_site_label
_atom_site_type_symbol
_atom_site_fract_x
_atom_site_fract_y
_atom_site_fract_z
Y1 Y 0.0000 0.0000 0.0000
As1 As 0.4837 0.0000 0.6905
As2 As 0.4964 0.5000 0.9118
Br1 Br 0.0111 0.5000 0.2999
# formation energy from raw total energies	-0.88	eV/atom
# energy above the lowest structure with this stoichiometry	0	meV per atom



# YAs2Br | the Alexandria database | PBE | relaxed
data_YAs2Br
_chemical_formula_sum 'Y4 As8 Br4'
_space_group_name_H-M_alt 'I -4 2 d'
_space_group_IT_number 122
_space_group_name_Hall 'I -4 2bw'
_cell_length_a 4.2461
_cell_length_b 4.2461
_cell_length_c 22.2168
_cell_angle_alpha 90.00
_cell_angle_beta 90.00
_cell_angle_gamma 90.00
loop_
_atom_site_label
_atom_site_type_symbol
_atom_site_fract_x
_atom_site_fract_y
_atom_site_fract_z
Y1 Y 0.0000 0.0000 0.0000
As1 As 0.1680 0.2500 0.1250
Br1 Br 0.0000 0.0000 0.5000
# formation energy from raw total energies	-0.64	eV/atom
# energy above the lowest structure with this stoichiometry	241	meV per atom



# YAs2Br | the Alexandria database | PBE | relaxed
data_YAs2Br
_chemical_formula_sum 'Y3 As6 Br3'
_space_group_name_H-M_alt 'R 3 m'
_space_group_IT_number 160
_space_group_name_Hall 'R 3 -2"'
_cell_length_a 4.3344
_cell_length_b 4.3344
_cell_length_c 22.0651
_cell_angle_alpha 90.00
_cell_angle_beta 90.00
_cell_angle_gamma 120.00
loop_
_atom_site_label
_atom_site_type_symbol
_atom_site_fract_x
_atom_site_fract_y
_atom_site_fract_z
Y1 Y 0.0000 0.0000 0.0000
As1 As 0.0000 0.0000 0.4316
As2 As 0.0000 0.0000 0.7417
Br1 Br 0.0000 0.0000 0.2561
# formation energy from raw total energies	-0.81	eV/atom
# energy above the lowest structure with this stoichiometry	72	meV per atom



# Y2AsBr2 | the Alexandria database | PBE | relaxed
data_Y2AsBr2
_chemical_formula_sum 'Y6 As3 Br6'
_space_group_name_H-M_alt 'R -3 m'
_space_group_IT_number 166
_space_group_name_Hall '-R 3 2"'
_cell_length_a 4.0848
_cell_length_b 4.0848
_cell_length_c 31.6037
_cell_angle_alpha 90.00
_cell_angle_beta 90.00
_cell_angle_gamma 120.00
loop_
_atom_site_label
_atom_site_type_symbol
_atom_site_fract_x
_atom_site_fract_y
_atom_site_fract_z
Y1 Y 0.0000 0.0000 0.1167
As1 As 0.0000 0.0000 0.5000
Br1 Br 0.0000 0.0000 0.2734
# formation energy from raw total energies	-1.72	eV/atom



# YAs2Br | the Alexandria database | PBE | relaxed
data_YAs2Br
_chemical_formula_sum 'Y2 As4 Br2'
_space_group_name_H-M_alt 'I 4/m m m'
_space_group_IT_number 139
_space_group_name_Hall '-I 4 2'
_cell_length_a 4.0391
_cell_length_b 4.0391
_cell_length_c 10.9612
_cell_angle_alpha 90.00
_cell_angle_beta 90.00
_cell_angle_gamma 90.00
loop_
_atom_site_label
_atom_site_type_symbol
_atom_site_fract_x
_atom_site_fract_y
_atom_site_fract_z
Y1 Y 0.0000 0.0000 0.0000
As1 As 0.0000 0.5000 0.2500
Br1 Br 0.0000 0.0000 0.5000
# formation energy from raw total energies	-0.65	eV/atom
# energy above the lowest structure with this stoichiometry	231	meV per atom